CoCuMo2, relaxed, DFT GGA-PBEsol; space-group type = Fm-3m, No. 225; E above lowest polymorph = 19.06 kJ/mol of atoms; total moment = 1.6 μB per formula unit; calculated total energy = -8.493 eV/atom
1.0
5.949 0.000 0.000
0.000 5.949 0.000
0.000 0.000 5.949
Co Cu Mo
4 4 8
Direct
0.000 0.000 0.000
0.000 0.500 0.500
0.500 0.000 0.500
0.500 0.500 0.000
0.000 0.000 0.500
0.000 0.500 0.000
0.500 0.000 0.000
0.500 0.500 0.500
0.250 0.250 0.250
0.250 0.250 0.750
0.250 0.750 0.250
0.250 0.750 0.750
0.750 0.250 0.250
0.750 0.250 0.750
0.750 0.750 0.250
0.750 0.750 0.750

***

Co2CuMo, relaxed, DFT GGA-PBEsol; space-group type = C2/m, No. 12; E above lowest polymorph = 16.87 kJ/mol of atoms; total moment = 1.3 μB per formula unit; calculated total energy = -7.602 eV/atom
1.0
5.104 0.000 0.000
0.000 8.094 0.000
-1.037 0.000 2.282
Co Cu Mo
4 2 2
Direct
0.250 0.250 0.000
0.250 0.750 0.000
0.750 0.250 0.000
0.750 0.750 0.000
0.000 0.000 0.500
0.500 0.500 0.500
0.000 0.500 0.500
0.500 0.000 0.500

***

Co2CuMo, relaxed, DFT GGA-PBEsol; space-group type = Fm-3m, No. 225; E above lowest polymorph = 0.00 kJ/mol of atoms; total moment = 0.7 μB per formula unit; calculated total energy = -7.777 eV/atom
1.0
5.698 0.000 0.000
0.000 5.698 0.000
0.000 0.000 5.698
Co Cu Mo
8 4 4
Direct
0.250 0.250 0.250
0.250 0.250 0.750
0.250 0.750 0.250
0.250 0.750 0.750
0.750 0.250 0.250
0.750 0.250 0.750
0.750 0.750 0.250
0.750 0.750 0.750
0.000 0.000 0.000
0.000 0.500 0.500
0.500 0.000 0.500
0.500 0.500 0.000
0.000 0.000 0.500
0.000 0.500 0.000
0.500 0.000 0.000
0.500 0.500 0.500

***

Co2CuSbMo, relaxed, DFT GGA-PBEsol; space-group type = P4/mmm, No. 123; total moment = 3.3 μB per formula unit; raw formation energy = 1.806 eV per atom; calculated total energy = -5.421 eV/atom
1.0
4.490 0.000 0.000
0.000 4.490 0.000
0.000 0.000 4.926
Co Cu Sb Mo
2 1 1 1
Direct
0.000 0.500 0.000
0.500 0.000 0.000
0.000 0.000 0.500
0.500 0.500 0.000
0.500 0.500 0.500

***

CoCuN2O, relaxed, DFT GGA-PBEsol; space-group type = P4/mmm, No. 123; total moment = 4.2 μB per formula unit; raw formation energy = 1.498 eV per atom; calculated total energy = -5.377 eV/atom
1.0
3.648 0.000 0.000
0.000 3.648 0.000
0.000 0.000 3.739
Co Cu N O
1 1 2 1
Direct
0.000 0.000 0.000
0.500 0.500 0.500
0.000 0.500 0.500
0.500 0.000 0.500
0.500 0.500 0.000

***

CoCu2PN, relaxed, DFT GGA-PBEsol; space-group type = P4/mmm, No. 123; total moment = 0.0 μB per formula unit; raw formation energy = 0.570 eV per atom; calculated total energy = -5.574 eV/atom
1.0
3.621 0.000 0.000
0.000 3.621 0.000
0.000 0.000 4.281
Co Cu P N
1 2 1 1
Direct
0.000 0.000 0.000
0.000 0.500 0.500
0.500 0.000 0.500
0.500 0.500 0.000
0.500 0.500 0.500

***

CoCuSeN2, relaxed, DFT GGA-PBEsol; space-group type = P4/mmm, No. 123; total moment = 0.0 μB per formula unit; raw formation energy = 0.859 eV per atom; calculated total energy = -5.736 eV/atom
1.0
3.494 0.000 0.000
0.000 3.494 0.000
0.000 0.000 5.204
Co Cu Se N
1 1 1 2
Direct
0.000 0.000 0.000
0.500 0.500 0.500
0.000 0.000 0.500
0.000 0.500 0.000
0.500 0.000 0.000

***

NaCoCu2, relaxed, DFT GGA-PBEsol; space-group type = Fm-3m, No. 225; total moment = 1.4 μB per formula unit; calculated total energy = -3.799 eV/atom
1.0
5.940 0.000 0.000
0.000 5.940 0.000
0.000 0.000 5.940
Na Co Cu
4 4 8
Direct
0.000 0.000 0.000
0.000 0.500 0.500
0.500 0.000 0.500
0.500 0.500 0.000
0.000 0.000 0.500
0.000 0.500 0.000
0.500 0.000 0.000
0.500 0.500 0.500
0.250 0.250 0.250
0.250 0.250 0.750
0.250 0.750 0.250
0.250 0.750 0.750
0.750 0.250 0.250
0.750 0.250 0.750
0.750 0.750 0.250
0.750 0.750 0.750

***

Nb2Co2Cu, relaxed, DFT GGA-PBEsol; space-group type = P4/mbm, No. 127; total moment = 0.0 μB per formula unit; calculated total energy = -8.329 eV/atom
1.0
6.756 0.000 0.000
0.000 6.756 0.000
0.000 0.000 3.003
Nb Co Cu
4 4 2
Direct
0.174 0.326 0.000
0.326 0.826 0.000
0.674 0.174 0.000
0.826 0.674 0.000
0.130 0.630 0.500
0.370 0.130 0.500
0.630 0.870 0.500
0.870 0.370 0.500
0.000 0.000 0.500
0.500 0.500 0.500

***

Nb3CoCu, relaxed, DFT GGA-PBEsol; space-group type = Pm-3m, No. 221; total moment = 0.0 μB per formula unit; calculated total energy = -8.011 eV/atom
1.0
4.511 0.000 0.000
0.000 4.511 0.000
0.000 0.000 4.511
Nb Co Cu
3 1 1
Direct
0.000 0.000 0.500
0.000 0.500 0.000
0.500 0.000 0.000
0.000 0.000 0.000
0.500 0.500 0.500

***

Nd2Co5Cu5, relaxed, DFT GGA-PBEsol; space-group type = Pmmm, No. 47; total moment = 5.4 μB per formula unit; calculated total energy = -5.900 eV/atom
1.0
3.978 0.000 0.000
0.000 4.983 0.000
0.000 0.000 8.455
Nd Co Cu
2 5 5
Direct
0.000 0.000 0.000
0.000 0.500 0.500
0.000 0.000 0.338
0.000 0.000 0.662
0.000 0.500 0.152
0.000 0.500 0.848
0.500 0.500 0.000
0.500 0.000 0.500
0.500 0.250 0.248
0.500 0.250 0.752
0.500 0.750 0.248
0.500 0.750 0.752

***

CoCu2Ni, relaxed, DFT GGA-PBEsol; space-group type = P4mm, No. 99; total moment = 2.0 μB per formula unit; calculated total energy = -5.593 eV/atom
1.0
2.466 0.000 0.000
0.000 2.466 0.000
0.000 0.000 7.099
Co Cu Ni
1 2 1
Direct
0.000 0.000 0.000
0.000 0.000 0.513
0.500 0.500 0.256
0.500 0.500 0.766

***

Co6CuNi, relaxed, DFT GGA-PBEsol; space-group type = Cmmm, No. 65; total moment = 10.4 μB per formula unit; calculated total energy = -7.048 eV/atom
1.0
3.470 -4.913 0.000
3.470 4.913 0.000
0.000 0.000 9.843
Co Cu Ni
24 4 4
Direct
0.000 0.000 0.000
0.000 0.000 0.500
0.123 0.374 0.124
0.123 0.374 0.876
0.124 0.373 0.374
0.124 0.373 0.626
0.249 0.751 0.248
0.249 0.751 0.752
0.373 0.124 0.374
0.373 0.124 0.626
0.374 0.123 0.124
0.374 0.123 0.876
0.500 0.500 0.000
0.500 0.500 0.500
0.626 0.877 0.124
0.626 0.877 0.876
0.627 0.876 0.374
0.627 0.876 0.626
0.751 0.249 0.248
0.751 0.249 0.752
0.876 0.627 0.374
0.876 0.627 0.626
0.877 0.626 0.124
0.877 0.626 0.876
0.250 0.750 0.500
0.500 0.500 0.250
0.500 0.500 0.750
0.750 0.250 0.500
0.000 0.000 0.250
0.000 0.000 0.750
0.250 0.750 0.000
0.750 0.250 0.000